Record 1
VASP calculation (GGA-PBE) on an optimized crystal structure of Cu2AsAu.

abc: 2.927 2.927 25.356
angles: 90.00 90.00 120.00
Fractional positions:
Cu  0.000  0.000  0.000
Cu  0.000  0.000  0.259
Cu  0.333  0.667  0.667
Cu  0.333  0.667  0.926
Cu  0.667  0.333  0.333
Cu  0.667  0.333  0.593
As  0.000  0.000  0.744
As  0.333  0.667  0.411
As  0.667  0.333  0.077
Au  0.000  0.000  0.509
Au  0.333  0.667  0.176
Au  0.667  0.333  0.842

Results
Formation energy from the elements ... 191 meV/atom
Total magnetization ... 0.00 μB/atom

=====

Record 2
VASP calculation (GGA-PBE) on an optimized crystal structure of CuAsAu.

abc: 3.175 3.645 8.553
angles: 90.00 90.00 90.00
Fractional positions:
Cu  0.000  0.000  0.000
Cu  0.500  0.500  0.500
As  0.000  0.000  0.635
As  0.500  0.500  0.135
Au  0.000  0.000  0.326
Au  0.500  0.500  0.826

Results
Relative energy among the computed polymorphs ... 4.5 kJ per mole of atoms
Formation energy from the elements ... 154 meV/atom
Total magnetization ... 0.00 μB/atom

=====

Record 3
VASP calculation (GGA-PBE) on an optimized crystal structure of CuAs2Au.

abc: 8.455 2.926 6.381
angles: 90.00 94.35 90.00
Fractional positions:
Cu  0.000  0.000  0.000
Cu  0.500  0.500  0.000
As  0.287  0.000  0.111
As  0.328  0.000  0.506
As  0.787  0.500  0.111
As  0.828  0.500  0.506
Au  0.112  0.500  0.683
Au  0.612  0.000  0.683

Results
Relative energy among the computed polymorphs ... 0.0 kJ per mole of atoms
Formation energy from the elements ... 111 meV/atom
Total magnetization ... 0.00 μB/atom

=====

Record 4
VASP calculation (GGA-PBE) on an optimized crystal structure of Cu7AsAu12.

abc: 7.323 7.323 7.323
angles: 106.71 106.71 106.71
Fractional positions:
Cu  0.000  0.000  0.000
Cu  0.178  0.480  0.593
Cu  0.407  0.822  0.520
Cu  0.480  0.593  0.178
Cu  0.520  0.407  0.822
Cu  0.593  0.178  0.480
Cu  0.822  0.520  0.407
As  0.500  0.500  0.500
Au  0.094  0.474  0.210
Au  0.144  0.278  0.843
Au  0.157  0.856  0.722
Au  0.210  0.094  0.474
Au  0.278  0.843  0.144
Au  0.474  0.210  0.094
Au  0.526  0.790  0.906
Au  0.722  0.157  0.856
Au  0.790  0.906  0.526
Au  0.843  0.144  0.278
Au  0.856  0.722  0.157
Au  0.906  0.526  0.790

Results
Formation energy from the elements ... 35 meV/atom
Total magnetization ... 0.00 μB/atom

=====

Record 5
VASP calculation (GGA-PBE) on an optimized crystal structure of CuAsAu2.

abc: 4.399 4.399 13.423
angles: 90.00 90.00 120.00
Fractional positions:
Cu  0.000  0.000  0.000
Cu  0.333  0.667  0.667
Cu  0.667  0.333  0.333
As  0.000  0.000  0.189
As  0.333  0.667  0.855
As  0.667  0.333  0.522
Au  0.000  0.000  0.389
Au  0.000  0.000  0.597
Au  0.333  0.667  0.056
Au  0.333  0.667  0.264
Au  0.667  0.333  0.723
Au  0.667  0.333  0.931

Results
Formation energy from the elements ... 145 meV/atom
Total magnetization ... 0.00 μB/atom

=====

Record 6
VASP calculation (GGA-PBE) on an optimized crystal structure of Cu2AsAu.

abc: 8.121 2.921 5.346
angles: 90.00 100.71 90.00
Fractional positions:
Cu  0.247  0.000  0.222
Cu  0.253  0.500  0.778
Cu  0.747  0.500  0.222
Cu  0.753  0.000  0.778
As  0.000  0.500  0.000
As  0.500  0.000  0.000
Au  0.000  0.000  0.500
Au  0.500  0.500  0.500

Results
Formation energy from the elements ... 123 meV/atom
Total magnetization ... 0.00 μB/atom

=====

Record 7
VASP calculation (GGA-PBE) on an optimized crystal structure of CuAsAu.

abc: 6.095 6.095 6.095
angles: 90.00 90.00 90.00
Fractional positions:
Cu  0.000  0.000  0.000
Cu  0.000  0.500  0.500
Cu  0.500  0.000  0.500
Cu  0.500  0.500  0.000
As  0.000  0.000  0.500
As  0.000  0.500  0.000
As  0.500  0.000  0.000
As  0.500  0.500  0.500
Au  0.250  0.250  0.750
Au  0.250  0.750  0.250
Au  0.750  0.250  0.250
Au  0.750  0.750  0.750

Results
Relative energy among the computed polymorphs ... 3.9 kJ per mole of atoms
Formation energy from the elements ... 147 meV/atom
Total magnetization ... 0.00 μB/atom

=====

Record 8
VASP calculation (GGA-PBE) on an optimized crystal structure of CuAsAu2.

abc: 4.093 4.093 8.113
angles: 90.00 90.00 90.00
Fractional positions:
Cu  0.000  0.000  0.000
Cu  0.500  0.500  0.500
As  0.000  0.000  0.500
As  0.500  0.500  0.000
Au  0.000  0.500  0.250
Au  0.000  0.500  0.750
Au  0.500  0.000  0.250
Au  0.500  0.000  0.750

Results
Formation energy from the elements ... 144 meV/atom
Total magnetization ... 0.00 μB/atom

=====

Record 9
VASP calculation (GGA-PBE) on an optimized crystal structure of Cu2AsAu.

abc: 5.695 7.048 3.028
angles: 90.00 90.00 90.00
Fractional positions:
Cu  0.250  0.250  0.000
Cu  0.250  0.750  0.000
Cu  0.750  0.250  0.000
Cu  0.750  0.750  0.000
As  0.000  0.000  0.500
As  0.500  0.500  0.500
Au  0.000  0.500  0.500
Au  0.500  0.000  0.500

Results
Formation energy from the elements ... 76 meV/atom
Total magnetization ... 0.00 μB/atom

=====

Record 10
VASP calculation (GGA-PBE) on an optimized crystal structure of CuAsAu2.

abc: 3.004 3.695 6.096
angles: 90.00 90.00 90.00
Fractional positions:
Cu  0.000  0.000  0.000
As  0.500  0.500  0.209
Au  0.000  0.000  0.486
Au  0.500  0.500  0.766

Results
Formation energy from the elements ... 118 meV/atom
Total magnetization ... 0.00 μB/atom

=====

Record 11
VASP calculation (GGA-PBE) on an optimized crystal structure of CuAs2Au.

abc: 2.860 2.860 8.515
angles: 90.00 90.00 90.00
Fractional positions:
Cu  0.000  0.000  0.000
As  0.500  0.500  0.215
As  0.500  0.500  0.785
Au  0.000  0.000  0.500

Results
Relative energy among the computed polymorphs ... 12.1 kJ per mole of atoms
Formation energy from the elements ... 236 meV/atom
Total magnetization ... 0.00 μB/atom

=====

Record 12
VASP calculation (GGA-PBE) on an optimized crystal structure of CuAs2Au.

abc: 5.501 7.130 3.579
angles: 90.00 90.20 90.00
Fractional positions:
Cu  0.000  0.000  0.000
Cu  0.500  0.500  0.000
As  0.250  0.250  0.500
As  0.250  0.750  0.500
As  0.750  0.250  0.500
As  0.750  0.750  0.500
Au  0.000  0.500  0.000
Au  0.500  0.000  0.000

Results
Relative energy among the computed polymorphs ... 12.3 kJ per mole of atoms
Formation energy from the elements ... 239 meV/atom
Total magnetization ... 0.00 μB/atom

=====

Record 13
VASP calculation (GGA-PBE) on an optimized crystal structure of Cu2As2Au.

abc: 4.117 4.117 10.309
angles: 90.00 90.00 90.00
Fractional positions:
Cu  0.000  0.500  0.250
Cu  0.000  0.500  0.750
Cu  0.500  0.000  0.250
Cu  0.500  0.000  0.750
As  0.000  0.000  0.120
As  0.000  0.000  0.880
As  0.500  0.500  0.380
As  0.500  0.500  0.620
Au  0.000  0.000  0.500
Au  0.500  0.500  0.000

Results
Relative energy among the computed polymorphs ... 6.9 kJ per mole of atoms
Formation energy from the elements ... 254 meV/atom
Total magnetization ... 0.00 μB/atom

=====

Record 14
VASP calculation (GGA-PBE) on an optimized crystal structure of CuAsAu2.

abc: 4.148 4.148 3.941
angles: 90.00 90.00 90.00
Fractional positions:
Cu  0.000  0.000  0.000
As  0.500  0.500  0.000
Au  0.000  0.500  0.500
Au  0.500  0.000  0.500

Results
Formation energy from the elements ... 134 meV/atom
Total magnetization ... 0.00 μB/atom

=====

Record 15
VASP calculation (GGA-PBE) on an optimized crystal structure of CuAsAu2.

abc: 2.973 3.464 6.616
angles: 90.00 90.00 90.00
Fractional positions:
Cu  0.000  0.000  0.000
As  0.000  0.000  0.500
Au  0.500  0.500  0.226
Au  0.500  0.500  0.774

Results
Formation energy from the elements ... 125 meV/atom
Total magnetization ... 0.00 μB/atom

=====

Record 16
VASP calculation (GGA-PBE) on an optimized crystal structure of CuAsAu2.

abc: 6.515 6.515 6.515
angles: 90.00 90.00 90.00
Fractional positions:
Cu  0.000  0.000  0.000
Cu  0.000  0.500  0.500
Cu  0.500  0.000  0.500
Cu  0.500  0.500  0.000
As  0.250  0.250  0.750
As  0.250  0.750  0.250
As  0.750  0.250  0.250
As  0.750  0.750  0.750
Au  0.000  0.000  0.500
Au  0.000  0.500  0.000
Au  0.250  0.250  0.250
Au  0.250  0.750  0.750
Au  0.500  0.000  0.000
Au  0.500  0.500  0.500
Au  0.750  0.250  0.750
Au  0.750  0.750  0.250

Results
Formation energy from the elements ... 234 meV/atom
Total magnetization ... 0.00 μB/atom

=====

Record 17
VASP calculation (GGA-PBE) on an optimized crystal structure of Cu2AsAu.

abc: 2.916 2.916 7.165
angles: 90.00 90.00 90.00
Fractional positions:
Cu  0.000  0.000  0.243
Cu  0.000  0.000  0.757
As  0.500  0.500  0.000
Au  0.500  0.500  0.500

Results
Formation energy from the elements ... 83 meV/atom
Total magnetization ... 0.00 μB/atom

=====

Record 18
VASP calculation (GGA-PBE) on an optimized crystal structure of Cu2AsAu.

abc: 2.998 3.594 5.604
angles: 90.00 90.60 90.00
Fractional positions:
Cu  0.004  0.000  0.259
Cu  0.996  0.000  0.741
As  0.500  0.500  0.500
Au  0.500  0.500  0.000

Results
Formation energy from the elements ... 83 meV/atom
Total magnetization ... 0.00 μB/atom

=====

Record 19
VASP calculation (GGA-PBE) on an optimized crystal structure of CuAs2Au.

abc: 6.540 6.540 6.540
angles: 90.00 90.00 90.00
Fractional positions:
Cu  0.000  0.000  0.000
Cu  0.000  0.500  0.500
Cu  0.500  0.000  0.500
Cu  0.500  0.500  0.000
As  0.250  0.250  0.250
As  0.250  0.250  0.750
As  0.250  0.750  0.250
As  0.250  0.750  0.750
As  0.750  0.250  0.250
As  0.750  0.250  0.750
As  0.750  0.750  0.250
As  0.750  0.750  0.750
Au  0.000  0.000  0.500
Au  0.000  0.500  0.000
Au  0.500  0.000  0.000
Au  0.500  0.500  0.500

Results
Relative energy among the computed polymorphs ... 20.7 kJ per mole of atoms
Formation energy from the elements ... 326 meV/atom
Total magnetization ... 0.00 μB/atom

=====

Record 20
VASP calculation (GGA-PBE) on an optimized crystal structure of Cu2As2Au.

abc: 6.808 6.808 3.508
angles: 90.00 90.00 90.00
Fractional positions:
Cu  0.132  0.368  0.000
Cu  0.368  0.868  0.000
Cu  0.632  0.132  0.000
Cu  0.868  0.632  0.000
As  0.164  0.664  0.500
As  0.336  0.164  0.500
As  0.664  0.836  0.500
As  0.836  0.336  0.500
Au  0.000  0.000  0.000
Au  0.500  0.500  0.000

Results
Relative energy among the computed polymorphs ... 0.0 kJ per mole of atoms
Formation energy from the elements ... 182 meV/atom
Total magnetization ... 0.00 μB/atom